Record 1
Here is a relaxed MnAlSi2 crystal from Alexandria. Energies are from PBE.

Lattice parameters (Å, degrees): 4.089 2.889 4.740 77.69 90.00 90.00
Each line ends with the local moment (μB).
Atoms (fractional coordinates):
1 Si 0.000 0.815 0.994  -0.02
2 Si 0.000 0.685 0.506  -0.02
3 Mn 0.500 0.750 0.750  1.24
4 Al 0.500 0.250 0.250  -0.03

Formation energy (no corrections) in eV per atom: 0.028


Record 2
Here is a relaxed Mn2Al2Si crystal from Alexandria. Energies are from PBE.

Lattice parameters (Å, degrees): 5.865 5.865 3.886 90.00 90.00 90.00
Each line ends with the local moment (μB).
Atoms (fractional coordinates):
1 Si 0.000 0.000 0.000  -0.05
2 Si 0.500 0.500 0.000  -0.05
3 Al 0.662 0.838 0.500  -0.02
4 Al 0.162 0.662 0.500  -0.02
5 Al 0.838 0.338 0.500  -0.02
6 Al 0.338 0.162 0.500  -0.02
7 Mn 0.360 0.860 0.000  0.96
8 Mn 0.640 0.140 0.000  0.96
9 Mn 0.140 0.360 0.000  0.95
10 Mn 0.860 0.640 0.000  0.95

Formation energy (no corrections) in eV per atom: -0.234


Record 3
Here is a relaxed Mn2AlSi crystal from Alexandria. Energies are from PBE.

Lattice parameters (Å, degrees): 4.692 4.692 4.692 135.27 135.27 65.11
Each line ends with the local moment (μB).
Atoms (fractional coordinates):
1 Mn 0.000 0.000 0.000  2.43
2 Mn 0.250 0.750 0.500  2.30
3 Al 0.750 0.250 0.500  -0.06
4 Si 0.500 0.500 0.000  -0.08

Formation energy (no corrections) in eV per atom: -0.256


Record 4
Here is a relaxed Mn3Al4Si2 crystal from Alexandria. Energies are from PBE.

Lattice parameters (Å, degrees): 4.529 4.529 12.923 85.07 85.07 119.58
Each line ends with the local moment (μB).
Atoms (fractional coordinates):
1 Si 0.201 0.799 0.500  -0.02
2 Si 0.544 0.456 0.500  -0.02
3 Si 0.216 0.120 0.167  -0.03
4 Si 0.880 0.784 0.833  -0.03
5 Mn 0.122 0.878 0.000  0.84
6 Mn 0.210 0.460 0.833  0.42
7 Mn 0.875 0.125 0.500  0.26
8 Mn 0.451 0.202 0.339  0.30
9 Mn 0.798 0.549 0.661  0.30
10 Mn 0.540 0.790 0.167  0.42
11 Al 0.462 0.869 0.664  -0.01
12 Al 0.131 0.538 0.336  -0.01
13 Al 0.455 0.545 0.000  -0.02
14 Al 0.794 0.206 0.000  -0.03
15 Al 0.540 0.130 0.831  -0.02
16 Al 0.870 0.460 0.169  -0.02
17 Al 0.791 0.879 0.332  -0.01
18 Al 0.121 0.209 0.668  -0.01

Formation energy (no corrections) in eV per atom: -0.305